Density functional theory data (GGA-PBE) for a relaxed YTcTe2 crystal.

a = 3.3914 Å, b = 3.3914 Å, c = 9.0763 Å
α = 90.00°, β = 90.00°, γ = 89.99°
Last column: nearest neighbours and their distance in Å.
Fractional coordinates of all 4 atoms:
Te: 0.5000 0.5000 0.2984  4 Y 3.23, 4 Te 3.39
Te: 0.0000 0.0000 0.9048  4 Tc 2.73
Tc: 0.5000 0.5000 0.7601  4 Te 2.73
Y: 0.0000 0.0000 0.5367  4 Tc 3.14, 5 Te 3.23-3.34, 4 Y 3.39

## Properties
The value obtained for the excess energy over the best structure of this formula in the dataset is 0.060 eV per atom.

Density functional theory data (GGA-PBE) for a relaxed Sr2CaIn6 crystal.

a = 6.7097 Å, b = 6.8871 Å, c = 6.8871 Å
α = 120.00°, β = 90.00°, γ = 90.00°
Last column: nearest neighbours and their distance in Å.
Fractional coordinates of all 9 atoms:
Ca: 0.5000 0.0000 0.0000  6 In 3.17
In: 0.8410 0.8159 0.6318  4 In 3.06-3.08, 1 Ca 3.17
In: 0.1590 0.1841 0.8159  4 In 3.06-3.08, 1 Ca 3.17
In: 0.1590 0.6318 0.8159  4 In 3.06-3.08, 1 Ca 3.17
In: 0.8410 0.3682 0.1841  4 In 3.06-3.08, 1 Ca 3.17
In: 0.1590 0.1841 0.3682  4 In 3.06-3.08, 1 Ca 3.17
In: 0.8410 0.8159 0.1841  4 In 3.06-3.08, 1 Ca 3.17
Sr: 0.3467 0.6667 0.3333  12 In 3.67-3.83, 3 Ca 4.11
Sr: 0.6533 0.3333 0.6667  12 In 3.67-3.83, 3 Ca 4.11

## Properties
The formation energy is -3.16 eV per formula unit.

Density functional theory data (GGA-PBE) for a relaxed Cs3KS2 crystal.

a = 7.9968 Å, b = 7.4714 Å, c = 9.9803 Å
α = 111.98°, β = 113.62°, γ = 90.00°
Last column: nearest neighbours and their distance in Å.
Fractional coordinates of all 12 atoms:
Cs: 0.0077 0.8129 0.6258  2 S 3.38-3.55
Cs: 0.5000 0.7500 0.0000  4 S 3.47, 2 Cs 3.74
Cs: 0.3819 0.6871 0.3742  2 S 3.38-3.55
Cs: 0.6181 0.3129 0.6258  2 S 3.38-3.55
Cs: 0.5000 0.2500 0.0000  4 S 3.47, 2 Cs 3.74
Cs: 0.9923 0.1871 0.3742  2 S 3.38-3.55
K: 0.0000 0.7500 0.0000  4 S 3.20
K: 0.0000 0.2500 0.0000  4 S 3.20
S: 0.3360 0.1142 0.2284  2 K 3.20, 4 Cs 3.38-3.55
S: 0.1077 0.3858 0.7716  2 K 3.20, 4 Cs 3.38-3.55
S: 0.6640 0.8858 0.7716  2 K 3.20, 4 Cs 3.38-3.55
S: 0.8923 0.6142 0.2284  2 K 3.20, 4 Cs 3.38-3.55

## Properties
As for the electronic total energy: -35.74 eV for the cell shown.

Density functional theory data (GGA-PBE) for a relaxed YCdInPt crystal.

a = 4.9316 Å, b = 4.9316 Å, c = 4.9316 Å
α = 60.00°, β = 60.00°, γ = 60.00°
Last column: nearest neighbours and their distance in Å.
Fractional coordinates of all 4 atoms:
In: 0.0000 0.0000 0.0000  4 Cd 3.02, 4 Pt 3.02
Y: 0.5000 0.5000 0.5000  4 Pt 3.02, 4 Cd 3.02
Cd: 0.2500 0.2500 0.2500  4 Y 3.02, 4 In 3.02
Pt: 0.7500 0.7500 0.7500  4 In 3.02, 4 Y 3.02

## Properties
The formation energy is -2.44 eV per formula unit.